[1]
DFT (GGA-PBE) results for an optimized crystal structure of PrHoAgPd.

abc: 5.147 5.147 5.147
angles: 60.00 60.00 60.00
Fractional coordinates of all 4 atoms:
Pd1 0.750 0.750 0.750
Pr1 0.500 0.500 0.500
Ag1 0.250 0.250 0.250
Ho1 0.000 0.000 0.000

Values from the calculation:
Total magnetic moment ... 0.000 μB/atom
ρ ... 9.0 Mg/m³
VASP energy ... -19.51 eV per cell
Volume ... 96.4 Å³/cell
Symmetry ... F-43m, No. 216
Energy of formation ... -0.53 eV per atom
Fermi-level density of states ... 0.647 states/eV/atom
ΔE to the lowest computed polymorph ... 12.5 meV/atom


[2]
DFT (GGA-PBE) results for an optimized crystal structure of PbAu2Cl4.

abc: 6.534 6.534 6.534
angles: 110.26 110.26 107.91
Fractional coordinates of all 7 atoms:
Au1 0.750 0.250 0.500
Au2 0.250 0.750 0.500
Cl1 0.671 0.840 0.512
Cl2 0.329 0.160 0.488
Cl3 0.840 0.329 0.169
Cl4 0.160 0.671 0.831
Pb1 0.500 0.500 0.000

Values from the calculation:
Total magnetic moment ... 0.000 μB/atom
ρ ... 5.7 Mg/m³
VASP energy ... -19.96 eV per cell
Volume ... 214.6 Å³/cell
Symmetry ... I4/m, No. 87
Fermi-level density of states ... 0.000 states/eV/atom
Formation energy from raw total energies ... -0.329 eV per atom


[3]
DFT (GGA-PBE) results for an optimized crystal structure of Sr2Sc.

abc: 17.610 17.610 17.610
angles: 167.54 167.54 17.66
Fractional coordinates of all 6 atoms:
Sr1 0.823 0.323 0.500
Sr2 0.677 0.177 0.500
Sr3 0.073 0.073 0.000
Sr4 0.927 0.927 0.000
Sc1 0.250 0.750 0.500
Sc2 0.500 0.500 0.000

Values from the calculation:
Total magnetic moment ... 0.286 μB/atom
ρ ... 2.9 Mg/m³
VASP energy ... -17.41 eV per cell
Volume ... 254.3 Å³/cell
Symmetry ... I4_1/amd, No. 141
Energy of formation ... 0.33 eV per atom
Fermi-level density of states ... 1.625 states/eV/atom
ΔE to the lowest computed polymorph ... 115.5 meV/atom


[4]
DFT (GGA-PBE) results for an optimized crystal structure of Cr2CoSiH.

abc: 3.566 3.566 3.767
angles: 90.00 90.00 90.00
Fractional coordinates of all 5 atoms:
Si1 0.500 0.500 0.500
Cr1 0.500 0.000 0.000
Cr2 0.000 0.500 0.000
Co1 0.000 0.000 0.500
H1 0.000 0.000 0.000

Values from the calculation:
Total magnetic moment ... 0.383 μB/atom
ρ ... 6.7 Mg/m³
VASP energy ... -35.69 eV per cell
Volume ... 47.9 Å³/cell
Symmetry ... P4/mmm, No. 123
Fermi-level density of states ... 1.044 states/eV/atom
ΔE to the lowest computed polymorph ... 0.0 meV/atom


[5]
DFT (GGA-PBE) results for an optimized crystal structure of Ru4SeBr.

abc: 5.279 5.279 5.279
angles: 60.00 60.00 60.00
Fractional coordinates of all 6 atoms:
Se1 0.750 0.750 0.750
Ru1 0.376 0.376 0.376
Ru2 0.873 0.376 0.376
Ru3 0.376 0.376 0.873
Ru4 0.376 0.873 0.376
Br1 0.000 0.000 0.000

Values from the calculation:
Total magnetic moment ... 0.917 μB/atom
ρ ... 9.0 Mg/m³
VASP energy ... -35.42 eV per cell
Volume ... 104.0 Å³/cell
Symmetry ... F-43m, No. 216
Fermi-level density of states ... 1.609 states/eV/atom
Formation energy from raw total energies ... 1.140 eV per atom


[6]
DFT (GGA-PBE) results for an optimized crystal structure of InHg8Pb2.

abc: 5.871 8.180 8.180
angles: 57.60 78.90 78.90
Fractional coordinates of all 11 atoms:
Hg1 0.235 0.376 0.754
Hg2 0.765 0.624 0.246
Hg3 0.909 0.235 0.235
Hg4 0.091 0.765 0.765
Hg5 0.691 0.639 0.639
Hg6 0.765 0.246 0.624
Hg7 0.309 0.361 0.361
Hg8 0.235 0.754 0.376
Pb1 0.475 0.136 0.136
Pb2 0.525 0.864 0.864
In1 0.000 0.000 0.000

Values from the calculation:
Total magnetic moment ... 0.000 μB/atom
ρ ... 11.0 Mg/m³
VASP energy ... -11.87 eV per cell
Volume ... 323.6 Å³/cell
Symmetry ... C2/m, No. 12
Energy of formation ... 0.06 eV per atom
Fermi-level density of states ... 0.314 states/eV/atom
ΔE to the lowest computed polymorph ... 35.8 meV/atom


[7]
DFT (GGA-PBE) results for an optimized crystal structure of CsK2CaFe.

abc: 7.492 5.533 7.492
angles: 90.00 90.00 90.00
Fractional coordinates of all 5 atoms:
Cs1 0.500 0.500 0.500
Fe1 0.000 0.500 0.000
Ca1 0.000 0.000 0.000
K1 0.500 0.000 0.000
K2 0.000 0.000 0.500

Values from the calculation:
Total magnetic moment ... 0.528 μB/atom
ρ ... 1.6 Mg/m³
VASP energy ... -9.64 eV per cell
Volume ... 310.5 Å³/cell
Symmetry ... P4/mmm, No. 123
Energy of formation ... 0.77 eV per atom
Fermi-level density of states ... 1.075 states/eV/atom


[8]
DFT (GGA-PBE) results for an optimized crystal structure of Cu2SiPd6.

abc: 2.856 7.246 7.236
angles: 120.05 90.00 90.00
Fractional coordinates of all 9 atoms:
Pd1 0.500 0.617 0.000
Pd2 0.000 0.270 0.000
Pd3 0.500 0.000 0.617
Pd4 0.000 0.000 0.269
Pd5 0.000 0.730 0.731
Pd6 0.500 0.382 0.383
Cu1 0.000 0.667 0.334
Cu2 0.000 0.333 0.666
Si1 0.500 0.001 0.000

Values from the calculation:
Total magnetic moment ... 0.000 μB/atom
ρ ... 10.2 Mg/m³
VASP energy ... -47.37 eV per cell
Volume ... 129.6 Å³/cell
Symmetry ... Amm2, No. 38
Fermi-level density of states ... 0.285 states/eV/atom
ΔE to the lowest computed polymorph ... 37.2 meV/atom
Formation energy from raw total energies ... -0.288 eV per atom